(1)
# Os2RuW GGA-PBEsol relaxed
data_Os2RuW
_chemical_formula_sum 'Os4 Ru2 W2'
_cell_length_a 3.836
_cell_length_b 3.836
_cell_length_c 7.733
_cell_angle_alpha 90.00
_cell_angle_beta 90.00
_cell_angle_gamma 90.00
_space_group_name_H-M_alt 'I -4 m 2'
_space_group_IT_number 119
_space_group_name_Hall 'I -4 -2'
loop_
_atom_site_label
_atom_site_type_symbol
_atom_site_fract_x
_atom_site_fract_y
_atom_site_fract_z
Os1 Os 0.000 0.000 0.000
Os2 Os 0.000 0.500 0.250
Ru1 Ru 0.000 0.500 0.750
W1 W 0.000 0.000 0.500
# VASP energy (eV/atom): -12.070
# Energy above the most stable polymorph in this dataset (meV per atom): 41
# Energy of formation (eV/f.u.): 0.13


(2)
# TlInB2 GGA-PBEsol relaxed
data_TlInB2
_chemical_formula_sum 'Tl4 In4 B8'
_cell_length_a 4.507
_cell_length_b 4.507
_cell_length_c 13.791
_cell_angle_alpha 90.00
_cell_angle_beta 90.00
_cell_angle_gamma 90.00
_space_group_name_H-M_alt 'I -4 2 d'
_space_group_IT_number 122
_space_group_name_Hall 'I -4 2bw'
loop_
_atom_site_label
_atom_site_type_symbol
_atom_site_fract_x
_atom_site_fract_y
_atom_site_fract_z
Tl1 Tl 0.000 0.000 0.000
In1 In 0.000 0.000 0.500
B1 B 0.238 0.250 0.625
# VASP energy (eV/atom): -3.652
# Energy of formation (eV/f.u.): 5.04


Please write out number 2 again, unchanged.
# TlInB2 GGA-PBEsol relaxed
data_TlInB2
_chemical_formula_sum 'Tl4 In4 B8'
_cell_length_a 4.507
_cell_length_b 4.507
_cell_length_c 13.791
_cell_angle_alpha 90.00
_cell_angle_beta 90.00
_cell_angle_gamma 90.00
_space_group_name_H-M_alt 'I -4 2 d'
_space_group_IT_number 122
_space_group_name_Hall 'I -4 2bw'
loop_
_atom_site_label
_atom_site_type_symbol
_atom_site_fract_x
_atom_site_fract_y
_atom_site_fract_z
Tl1 Tl 0.000 0.000 0.000
In1 In 0.000 0.000 0.500
B1 B 0.238 0.250 0.625
# VASP energy (eV/atom): -3.652
# Energy of formation (eV/f.u.): 5.04


> The lowest VASP energy belongs to which entry?

Os2RuW


> What is the formula in the second record?

TlInB2


> Look up the energy of formation of the first one.

0.13 eV/f.u.